(1)
## Mg2Ti2Sn (PBE)

Data for an optimized crystal structure of Mg2Ti2Sn.

Unit cell a=7.0124 b=7.0124 c=4.4072 alpha=90.00 beta=90.00 gamma=90.00
Closest atoms and distances in Å follow each position.
Fractional positions:
Mg: 0.1617 0.3383 0.0000  6 Ti 3.00-3.03, 1 Mg 3.21
Mg: 0.3383 0.8383 0.0000  6 Ti 3.00-3.03, 1 Mg 3.21
Mg: 0.6617 0.1617 0.0000  6 Ti 3.00-3.03, 1 Mg 3.21
Mg: 0.8383 0.6617 0.0000  6 Ti 3.00-3.03, 1 Mg 3.21
Ti: 0.1326 0.6326 0.5000  1 Ti 2.63, 2 Sn 2.74
Ti: 0.3674 0.1326 0.5000  1 Ti 2.63, 2 Sn 2.74
Ti: 0.6326 0.8674 0.5000  1 Ti 2.63, 2 Sn 2.74
Ti: 0.8674 0.3674 0.5000  1 Ti 2.63, 2 Sn 2.74
Sn: 0.0000 0.0000 0.5000  4 Ti 2.74
Sn: 0.5000 0.5000 0.5000  4 Ti 2.74

Results
Raw total energy, eV/cell: -44.6
DFT formation energy, eV per atom: 0.13
N(E_F), states/eV per cell: 5.043
Crystal system: tetragonal

---

(2)
## MgTi2Sn (PBE)

Data for an optimized crystal structure of MgTi2Sn.

Unit cell a=7.6264 b=7.6264 c=5.6617 alpha=90.00 beta=90.00 gamma=90.00
Closest atoms and distances in Å follow each position.
Fractional positions:
Mg: 0.0000 0.0000 0.0000  4 Ti 2.82, 2 Sn 2.83
Mg: 0.0000 0.5000 0.2500  4 Ti 2.82, 2 Sn 2.83
Mg: 0.5000 0.0000 0.7500  4 Ti 2.82, 2 Sn 2.83
Mg: 0.5000 0.5000 0.5000  4 Ti 2.82, 2 Sn 2.83
Ti: 0.2442 0.7500 0.6250  2 Sn 2.76, 2 Mg 2.82, 2 Ti 2.83
Ti: 0.2500 0.2442 0.3750  2 Sn 2.76, 2 Mg 2.82, 2 Ti 2.83
Ti: 0.2500 0.2558 0.8750  2 Sn 2.76, 2 Mg 2.82, 2 Ti 2.83
Ti: 0.2558 0.7500 0.1250  2 Sn 2.76, 2 Mg 2.82, 2 Ti 2.83
Ti: 0.7442 0.2500 0.1250  2 Sn 2.76, 2 Mg 2.82, 2 Ti 2.83
Ti: 0.7500 0.7442 0.8750  2 Sn 2.76, 2 Mg 2.82, 2 Ti 2.83
Ti: 0.7500 0.7558 0.3750  2 Sn 2.76, 2 Mg 2.82, 2 Ti 2.83
Ti: 0.7558 0.2500 0.6250  2 Sn 2.76, 2 Mg 2.82, 2 Ti 2.83
Sn: 0.0000 0.0000 0.5000  4 Ti 2.76, 2 Mg 2.83
Sn: 0.0000 0.5000 0.7500  4 Ti 2.76, 2 Mg 2.83
Sn: 0.5000 0.0000 0.2500  4 Ti 2.76, 2 Mg 2.83
Sn: 0.5000 0.5000 0.0000  4 Ti 2.76, 2 Mg 2.83

Results
Raw total energy, eV/cell: -81.1
DFT formation energy, eV per atom: 0.28
N(E_F), states/eV per cell: 22.457
Crystal system: tetragonal

---

(3)
## Mg2TiSn4 (PBE)

Data for an optimized crystal structure of Mg2TiSn4.

Unit cell a=5.3571 b=5.3571 c=14.1354 alpha=90.00 beta=90.00 gamma=90.00
Closest atoms and distances in Å follow each position.
Fractional positions:
Mg: 0.0000 0.0000 0.1117  5 Sn 2.81-3.11
Mg: 0.0000 0.0000 0.8883  5 Sn 2.81-3.11
Mg: 0.5000 0.5000 0.3883  5 Sn 2.81-3.11
Mg: 0.5000 0.5000 0.6117  5 Sn 2.81-3.11
Ti: 0.0000 0.0000 0.5000  6 Sn 2.68
Ti: 0.5000 0.5000 0.0000  6 Sn 2.68
Sn: 0.0000 0.0000 0.3107  1 Ti 2.68, 1 Mg 2.81
Sn: 0.0000 0.0000 0.6893  1 Ti 2.68, 1 Mg 2.81
Sn: 0.0000 0.5000 0.0000  2 Ti 2.68
Sn: 0.0000 0.5000 0.5000  2 Ti 2.68
Sn: 0.5000 0.0000 0.0000  2 Ti 2.68
Sn: 0.5000 0.0000 0.5000  2 Ti 2.68
Sn: 0.5000 0.5000 0.1893  1 Ti 2.68, 1 Mg 2.81
Sn: 0.5000 0.5000 0.8107  1 Ti 2.68, 1 Mg 2.81

Results
Raw total energy, eV/cell: -52.1
DFT formation energy, eV per atom: 0.15
N(E_F), states/eV per cell: 7.492
Crystal system: tetragonal

---

- Which value of DFT formation energy does entry 1 give?
  0.13 eV per atom

---

- The highest raw total energy belongs to which entry?
  Mg2Ti2Sn

---

- Look up the N(E_F) of the first one.
  5.043 states/eV per cell